[1]
Density functional theory data (PBE) for an optimized crystal structure of BaNbSb2Te.

Unit cell a=5.9483 b=5.9483 c=6.1652 alpha=90.00 beta=90.00 gamma=90.00
Closest atoms and distances in Å follow each position.
Space group P4/mmm (No. 123)
Inequivalent atoms, fractional coordinates:
Ba  0.0000  0.0000  0.0000 (multiplicity 1)  4 Sb 2.97, 2 Te 3.08
Nb  0.5000  0.5000  0.5000 (multiplicity 1)  4 Te 4.21, 8 Sb 4.28
Sb  0.0000  0.5000  0.0000 (multiplicity 2)  2 Ba 2.97
Te  0.0000  0.0000  0.5000 (multiplicity 1)  2 Ba 3.08

Results
Distance to the lowest polymorph of the same formula   2.087 eV per atom
Raw formation energy   1.6788 eV per atom
Volume   43.627 Å³ per atom
DFT total energy   -14.99 eV per formula unit
Total moment   0.169 μB per formula unit

[2]
Density functional theory data (PBE) for an optimized crystal structure of LaYMn2.

Unit cell a=7.1685 b=7.1685 c=7.1685 alpha=90.00 beta=90.00 gamma=90.00
Closest atoms and distances in Å follow each position.
Space group F-43m (No. 216)
Inequivalent atoms, fractional coordinates:
La  0.0000  0.0000  0.0000 (multiplicity 4)  4 Y 3.10, 4 Mn 3.10
Y  0.2500  0.2500  0.7500 (multiplicity 4)  4 Mn 3.10, 4 La 3.10
Mn  0.0000  0.0000  0.5000 (multiplicity 4)  4 Mn 3.10, 4 Y 3.10
Mn  0.2500  0.2500  0.2500 (multiplicity 4)  4 Mn 3.10, 4 La 3.10

Results
Distance to the lowest polymorph of the same formula   0.300 eV per atom
Formation energy   0.41 eV/atom
Volume   23.024 Å³ per atom
DFT total energy   -28.10 eV per formula unit
Total moment   7.319 μB per formula unit

[3]
Density functional theory data (PBE) for an optimized crystal structure of U2B6W.

Unit cell a=5.3155 b=5.3155 c=3.8616 alpha=90.00 beta=90.00 gamma=120.00
Closest atoms and distances in Å follow each position.
Space group P6/mmm (No. 191)
Inequivalent atoms, fractional coordinates:
U  0.3333  0.6667  0.0000 (multiplicity 2)  12 B 2.63
B  0.0000  0.3286  0.5000 (multiplicity 6)  3 B 1.75-1.82
W  0.0000  0.0000  0.0000 (multiplicity 1)  12 B 2.60

Results
Distance to the lowest polymorph of the same formula   0.129 eV per atom
Formation energy   -0.42 eV/atom
Volume   10.499 Å³ per atom
DFT total energy   -79.40 eV per formula unit
Total moment   0.000 μB per formula unit

[4]
Density functional theory data (PBE) for an optimized crystal structure of KAs3Pb4O12.

Unit cell a=10.3452 b=10.3452 c=7.5872 alpha=90.00 beta=90.00 gamma=120.00
Closest atoms and distances in Å follow each position.
Space group P6_3 (No. 173)
Inequivalent atoms, fractional coordinates:
K  0.3333  0.6667  0.0000 (multiplicity 2)  6 O 2.74-2.83
As  0.0176  0.6281  0.7604 (multiplicity 6)  4 O 1.72-1.74
Pb  0.0027  0.2641  0.7651 (multiplicity 6)  2 O 2.28-2.51
Pb  0.3333  0.6667  0.4909 (multiplicity 2)  3 O 2.47
O  0.0821  0.7411  0.5759 (multiplicity 6)  1 As 1.73
O  0.0909  0.7516  0.9341 (multiplicity 6)  1 As 1.72
O  0.0997  0.5166  0.7536 (multiplicity 6)  1 As 1.74
O  0.1736  0.4786  0.2705 (multiplicity 6)  1 As 1.72

Results
Raw formation energy   -1.3912 eV per atom
Volume   17.580 Å³ per atom
DFT total energy   -117.20 eV per formula unit
Total moment   0.000 μB per formula unit